Here is CuMo3Ru after structural relaxation from Alexandria. Energies are from PBE.

Unit cell a=4.667 b=4.667 c=4.667 alpha=90.00 beta=90.00 gamma=90.00
Fractional positions:
Ru (0.000, 0.000, 0.000)
Mo (0.000, 0.500, 0.000)
Mo (0.000, 0.000, 0.500)
Mo (0.500, 0.000, 0.000)
Cu (0.500, 0.500, 0.500)

Values from the calculation:
- ΔE to the lowest computed polymorph (meV per atom) = 7
- size of the total moment (μB per atom) = 0.00
- total DFT energy (no corrections) (eV/f.u.) = -37.116
- density of states at the Fermi level (states/eV/cell) = 6.65



Here is CuMoRu after structural relaxation from Alexandria. Energies are from PBE.

Unit cell a=5.221 b=4.843 c=4.843 alpha=74.25 beta=57.39 gamma=57.39
Fractional positions:
Mo (0.883, 0.250, 0.250)
Mo (0.617, 0.750, 0.750)
Ru (0.750, 0.862, 0.138)
Ru (0.250, 0.638, 0.362)
Cu (0.388, 0.362, 0.862)
Cu (0.112, 0.138, 0.638)

Values from the calculation:
- ΔE to the lowest computed polymorph (meV per atom) = 307
- size of the total moment (μB per atom) = 0.00
- total DFT energy (no corrections) (eV/f.u.) = -23.005
- density of states at the Fermi level (states/eV/cell) = 4.85



Here is CuMoRu after structural relaxation from Alexandria. Energies are from PBE.

Unit cell a=4.306 b=4.306 c=2.653 alpha=90.00 beta=90.00 gamma=120.00
Fractional positions:
Cu (0.000, 0.000, 0.988)
Mo (0.667, 0.333, 0.374)
Ru (0.333, 0.667, 0.638)

Values from the calculation:
- ΔE to the lowest computed polymorph (meV per atom) = 97
- size of the total moment (μB per atom) = 0.00
- total DFT energy (no corrections) (eV/f.u.) = -23.634
- density of states at the Fermi level (states/eV/cell) = 2.60



Here is Cu4MoRu after structural relaxation from Alexandria. Energies are from PBE.

Unit cell a=4.754 b=4.754 c=4.754 alpha=60.00 beta=60.00 gamma=60.00
Fractional positions:
Cu (0.876, 0.375, 0.375)
Cu (0.375, 0.375, 0.876)
Cu (0.375, 0.876, 0.375)
Cu (0.375, 0.375, 0.375)
Mo (0.750, 0.750, 0.750)
Ru (0.000, 0.000, 0.000)

Values from the calculation:
- size of the total moment (μB per atom) = 0.00
- total DFT energy (no corrections) (eV/f.u.) = -35.571
- density of states at the Fermi level (states/eV/cell) = 1.32



Here is CuMoRu2 after structural relaxation from Alexandria. Energies are from PBE.

Unit cell a=4.811 b=4.811 c=4.815 alpha=134.42 beta=134.42 gamma=66.40
Fractional positions:
Cu (0.500, 0.500, 0.000)
Mo (0.250, 0.750, 0.500)
Ru (0.000, 0.000, 0.000)
Ru (0.750, 0.250, 0.500)

Values from the calculation:
- ΔE to the lowest computed polymorph (meV per atom) = 48
- size of the total moment (μB per atom) = 0.00
- total DFT energy (no corrections) (eV/f.u.) = -32.753
- density of states at the Fermi level (states/eV/cell) = 5.49



Here is CuMoRu2 after structural relaxation from Alexandria. Energies are from PBE.

Unit cell a=2.784 b=2.784 c=7.276 alpha=90.00 beta=90.00 gamma=90.00
Fractional positions:
Cu (0.500, 0.500, 0.250)
Mo (0.500, 0.500, 0.750)
Ru (0.000, 0.000, 0.007)
Ru (0.000, 0.000, 0.493)

Values from the calculation:
- ΔE to the lowest computed polymorph (meV per atom) = 74
- size of the total moment (μB per atom) = 0.00
- total DFT energy (no corrections) (eV/f.u.) = -32.650
- density of states at the Fermi level (states/eV/cell) = 5.55



Here is CuMoRu after structural relaxation from Alexandria. Energies are from PBE.

Unit cell a=6.892 b=6.709 c=2.657 alpha=82.63 beta=74.90 gamma=22.48
Last column: magnetic moment on the atom in μB.
Fractional positions:
Cu (0.001, 0.001, 0.999)  0.01
Mo (0.332, 0.332, 0.668)  -0.01
Ru (0.667, 0.667, 0.333)  0.30

Values from the calculation:
- ΔE to the lowest computed polymorph (meV per atom) = 222
- size of the total moment (μB per atom) = 0.10
- total DFT energy (no corrections) (eV/f.u.) = -23.259
- density of states at the Fermi level (states/eV/cell) = 3.27



Here is CuMoRu2 after structural relaxation from Alexandria. Energies are from PBE.

Unit cell a=2.714 b=2.714 c=7.653 alpha=90.00 beta=90.00 gamma=90.00
Fractional positions:
Cu (0.000, 0.000, 0.493)
Mo (0.500, 0.500, 0.740)
Ru (0.000, 0.000, 0.020)
Ru (0.500, 0.500, 0.248)

Values from the calculation:
- ΔE to the lowest computed polymorph (meV per atom) = 45
- size of the total moment (μB per atom) = 0.00
- total DFT energy (no corrections) (eV/f.u.) = -32.767
- density of states at the Fermi level (states/eV/cell) = 2.74